1.
DFT (PBE) results for PaGe2Bi after structural relaxation. Values from VASP.

Calculated values
Symmetry   R-3m (166)
DOS at the Fermi energy   4.5 states/eV per cell
Calculated total energy   -5.1839 eV per atom

Structure (Quantum ESPRESSO input):
```
&SYSTEM
  ibrav = 0, nat = 4, ntyp = 3
/
ATOMIC_SPECIES
Pa 231.04 Pa.upf
Ge 72.64 Ge.upf
Bi 208.98 Bi.upf
CELL_PARAMETERS angstrom
2.200 1.270 8.070
-2.200 1.270 8.070
0.000 -2.540 8.070
ATOMIC_POSITIONS crystal
Pa 0.000 0.000 0.000
Ge 0.387 0.387 0.387
Ge 0.613 0.613 0.613
Bi 0.500 0.500 0.500
```

2.
DFT (PBE) results for Pa2GeBi after structural relaxation. Values from VASP.

Calculated values
Symmetry   P4/mmm (123)
DOS at the Fermi energy   7.2 states/eV per cell
Calculated total energy   -7.0734 eV per atom

Structure (Quantum ESPRESSO input):
```
&SYSTEM
  ibrav = 0, nat = 4, ntyp = 3
/
ATOMIC_SPECIES
Pa 231.04 Pa.upf
Ge 72.64 Ge.upf
Bi 208.98 Bi.upf
CELL_PARAMETERS angstrom
3.645 0.000 0.000
0.000 3.645 0.000
0.000 0.000 7.501
ATOMIC_POSITIONS crystal
Pa 0.000 0.000 0.224
Pa 0.000 0.000 0.776
Ge 0.500 0.500 0.000
Bi 0.500 0.500 0.500
```

3.
DFT (PBE) results for Pa2GeBi after structural relaxation. Values from VASP.

Calculated values
Symmetry   C2/m (12)
DOS at the Fermi energy   8.1 states/eV per cell
Calculated total energy   -7.0980 eV per atom

Structure (Quantum ESPRESSO input):
```
&SYSTEM
  ibrav = 0, nat = 4, ntyp = 3
/
ATOMIC_SPECIES
Pa 231.04 Pa.upf
Ge 72.64 Ge.upf
Bi 208.98 Bi.upf
CELL_PARAMETERS angstrom
2.793 -2.271 0.000
2.793 2.271 0.000
-0.929 0.000 8.089
ATOMIC_POSITIONS crystal
Pa 0.047 0.047 0.281
Pa 0.953 0.953 0.719
Ge 0.500 0.500 0.500
Bi 0.500 0.500 0.000
```

4.
DFT (PBE) results for Pa2GeBi after structural relaxation. Values from VASP.

Calculated values
Symmetry   R3m (160)
DOS at the Fermi energy   6.5 states/eV per cell
Calculated total energy   -7.0893 eV per atom

Structure (Quantum ESPRESSO input):
```
&SYSTEM
  ibrav = 0, nat = 4, ntyp = 3
/
ATOMIC_SPECIES
Pa 231.04 Pa.upf
Ge 72.64 Ge.upf
Bi 208.98 Bi.upf
CELL_PARAMETERS angstrom
2.058 1.188 7.661
-2.058 1.188 7.661
0.000 -2.377 7.661
ATOMIC_POSITIONS crystal
Pa 0.000 0.000 0.000
Pa 0.190 0.190 0.190
Ge 0.594 0.594 0.594
Bi 0.763 0.763 0.763
```

Q: Look up the calculated total energy of the first one.
A: -5.1839 eV per atom

Q: Which of these has the lowest calculated total energy?
A: number 3

Q: Among the records above, which one has the highest DOS at the Fermi energy?
A: number 3